[1]
An optimized crystal structure of AcSm6Er3, computed with PBE-GGA.

```
data_AcSm6Er3
_symmetry_space_group_name_H-M 'C m c 21'
_symmetry_Int_Tables_number 36
_cell_length_a 11.379
_cell_length_b 13.275
_cell_length_c 9.296
_cell_angle_alpha 90.00
_cell_angle_beta 90.00
_cell_angle_gamma 90.00
loop_
_symmetry_equiv_pos_as_xyz
'x,y,z'
'-x,-y,z+1/2'
'-x,y,z'
'x,-y,z+1/2'
'x+1/2,y+1/2,z'
'-x+1/2,-y+1/2,z+1/2'
'-x+1/2,y+1/2,z'
'x+1/2,-y+1/2,z+1/2'
loop_
_atom_site_label
_atom_site_fract_x
_atom_site_fract_y
_atom_site_fract_z
_atom_site_occupancy
Ac1 0.000 0.241 0.000 1
Sm1 0.000 0.268 0.554 1
Sm2 0.000 0.491 0.305 1
Sm3 0.191 0.110 0.388 1
Sm4 0.245 0.163 0.738 1
Er1 0.000 0.023 0.657 1
Er2 0.218 0.420 0.573 1
```

Output
ΔE to the lowest computed polymorph ... 120 meV/atom
Uncorrected energy ... -4.419 eV/atom
Energy of formation ... 193 meV per atom

***

[2]
An optimized crystal structure of Ac2Sm4Er7, computed with PBE-GGA.

```
data_Ac2Sm4Er7
_symmetry_space_group_name_H-M 'P -3 1 m'
_symmetry_Int_Tables_number 162
_symmetry_space_group_name_Hall '-P 3 2'
_cell_length_a 6.1739
_cell_length_b 6.1739
_cell_length_c 13.5330
_cell_angle_alpha 90.00
_cell_angle_beta 90.00
_cell_angle_gamma 120.00
loop_
_atom_site_label
_atom_site_fract_x
_atom_site_fract_y
_atom_site_fract_z
_atom_site_occupancy
Ac1 0.3333 0.6667 0.0000 1
Sm1 0.0000 0.0000 0.3949 1
Sm2 0.3333 0.6667 0.5000 1
Er1 0.0000 0.0000 0.0000 1
Er2 0.0000 0.3495 0.7831 1
```

Output
Uncorrected energy ... -4.329 eV/atom
Energy of formation ... 213 meV per atom

***

[3]
An optimized crystal structure of Ac3Sm7Er2, computed with PBE-GGA.

```
data_Ac3Sm7Er2
_symmetry_space_group_name_H-M 'P -1'
_symmetry_Int_Tables_number 2
_cell_length_a 3.724
_cell_length_b 5.922
_cell_length_c 19.909
_cell_angle_alpha 87.28
_cell_angle_beta 84.64
_cell_angle_gamma 90.00
loop_
_symmetry_equiv_pos_as_xyz
'x,y,z'
'-x,-y,-z'
loop_
_atom_site_label
_atom_site_fract_x
_atom_site_fract_y
_atom_site_fract_z
_atom_site_occupancy
Ac1 0.000 0.000 0.000 1
Ac2 0.322 0.272 0.357 1
Sm1 0.086 0.702 0.825 1
Sm2 0.228 0.245 0.543 1
Sm3 0.429 0.800 0.144 1
Sm4 0.500 0.500 0.000 1
Er1 0.143 0.219 0.713 1
```

Output
Uncorrected energy ... -4.434 eV/atom
Energy of formation ... 107 meV per atom

***

[4]
An optimized crystal structure of AcSm5Er6, computed with PBE-GGA.

```
data_AcSm5Er6
_symmetry_space_group_name_H-M 'C 1 2/m 1'
_symmetry_Int_Tables_number 12
_cell_length_a 11.845
_cell_length_b 10.812
_cell_length_c 6.235
_cell_angle_alpha 90.00
_cell_angle_beta 100.22
_cell_angle_gamma 90.00
loop_
_symmetry_equiv_pos_as_xyz
'x,y,z'
'-x,-y,-z'
'-x,y,-z'
'x,-y,z'
'x+1/2,y+1/2,z'
'-x+1/2,-y+1/2,-z'
'-x+1/2,y+1/2,-z'
'x+1/2,-y+1/2,z'
loop_
_atom_site_label
_atom_site_fract_x
_atom_site_fract_y
_atom_site_fract_z
_atom_site_occupancy
Ac1 0.000 0.000 0.000 1
Sm1 0.000 0.170 0.500 1
Sm2 0.000 0.336 0.000 1
Sm3 0.000 0.500 0.500 1
Er1 0.248 0.332 0.749 1
Er2 0.248 0.500 0.254 1
```

Output
Uncorrected energy ... -4.559 eV/atom
Energy of formation ... 31 meV per atom

***

[5]
An optimized crystal structure of AcSm14Er, computed with PBE-GGA.

```
data_AcSm14Er
_symmetry_space_group_name_H-M 'A m m 2'
_symmetry_Int_Tables_number 38
_cell_length_a 11.741
_cell_length_b 7.370
_cell_length_c 12.781
_cell_angle_alpha 90.00
_cell_angle_beta 90.00
_cell_angle_gamma 90.00
loop_
_symmetry_equiv_pos_as_xyz
'x,y,z'
'-x,-y,z'
'-x,y,z'
'x,-y,z'
'x,y+1/2,z+1/2'
'-x,-y+1/2,z+1/2'
'-x,y+1/2,z+1/2'
'x,-y+1/2,z+1/2'
loop_
_atom_site_label
_atom_site_fract_x
_atom_site_fract_y
_atom_site_fract_z
_atom_site_occupancy
Ac1 0.000 0.000 0.000 1
Sm1 0.000 0.248 0.751 1
Sm2 0.248 0.000 0.335 1
Sm3 0.252 0.248 0.585 1
Sm4 0.254 0.000 0.834 1
Sm5 0.500 0.000 0.001 1
Sm6 0.500 0.000 0.501 1
Sm7 0.500 0.249 0.251 1
Er1 0.000 0.000 0.502 1
```

Output
Uncorrected energy ... -4.636 eV/atom
Energy of formation ... 36 meV per atom

***

[6]
An optimized crystal structure of Ac8Sm3Er, computed with PBE-GGA.

```
data_Ac8Sm3Er
_symmetry_space_group_name_H-M 'C 1 m 1'
_symmetry_Int_Tables_number 8
_cell_length_a 13.471
_cell_length_b 12.487
_cell_length_c 6.732
_cell_angle_alpha 90.00
_cell_angle_beta 119.46
_cell_angle_gamma 90.00
loop_
_symmetry_equiv_pos_as_xyz
'x,y,z'
'x,-y,z'
'x+1/2,y+1/2,z'
'x+1/2,-y+1/2,z'
loop_
_atom_site_label
_atom_site_fract_x
_atom_site_fract_y
_atom_site_fract_z
_atom_site_occupancy
Ac1 0.000 0.000 0.000 1
Ac2 0.004 0.500 0.991 1
Ac3 0.009 0.258 0.351 1
Ac4 0.179 0.250 0.008 1
Ac5 0.180 0.000 0.669 1
Ac6 0.339 0.500 0.347 1
Sm1 0.338 0.252 0.668 1
Sm2 0.343 0.000 0.348 1
Er1 0.175 0.500 0.667 1
```

Output
Uncorrected energy ... -4.242 eV/atom
Energy of formation ... 57 meV per atom

***

[7]
An optimized crystal structure of Ac4Sm3Er, computed with PBE-GGA.

```
data_Ac4Sm3Er
_symmetry_space_group_name_H-M 'I m m m'
_symmetry_Int_Tables_number 71
_symmetry_space_group_name_Hall '-I 2 2'
_cell_length_a 3.694
_cell_length_b 12.062
_cell_length_c 14.040
_cell_angle_alpha 90.00
_cell_angle_beta 90.00
_cell_angle_gamma 90.00
loop_
_atom_site_label
_atom_site_fract_x
_atom_site_fract_y
_atom_site_fract_z
_atom_site_occupancy
Ac1 0.000 0.249 0.131 1
Sm1 0.000 0.000 0.270 1
Sm2 0.000 0.500 0.500 1
Er1 0.000 0.500 0.000 1
```

Output
Uncorrected energy ... -4.241 eV/atom
Energy of formation ... 154 meV per atom

***

[8]
An optimized crystal structure of Ac2Sm3Er2, computed with PBE-GGA.

```
data_Ac2Sm3Er2
_symmetry_space_group_name_H-M 'C 1 2/m 1'
_symmetry_Int_Tables_number 12
_cell_length_a 17.846
_cell_length_b 5.437
_cell_length_c 5.837
_cell_angle_alpha 90.00
_cell_angle_beta 109.00
_cell_angle_gamma 90.00
loop_
_symmetry_equiv_pos_as_xyz
'x,y,z'
'-x,-y,-z'
'-x,y,-z'
'x,-y,z'
'x+1/2,y+1/2,z'
'-x+1/2,-y+1/2,-z'
'-x+1/2,y+1/2,-z'
'x+1/2,-y+1/2,z'
loop_
_atom_site_label
_atom_site_fract_x
_atom_site_fract_y
_atom_site_fract_z
_atom_site_occupancy
Ac1 0.110 0.000 0.109 1
Sm1 0.000 0.000 0.500 1
Sm2 0.239 0.000 0.737 1
Er1 0.111 0.500 0.611 1
```

Output
Uncorrected energy ... -4.205 eV/atom
Energy of formation ... 295 meV per atom

***

[9]
An optimized crystal structure of AcSm4Er10, computed with PBE-GGA.

```
data_AcSm4Er10
_symmetry_space_group_name_H-M 'I 4/m'
_symmetry_Int_Tables_number 87
_symmetry_space_group_name_Hall '-I 4'
_cell_length_a 9.747
_cell_length_b 9.747
_cell_length_c 11.539
_cell_angle_alpha 90.00
_cell_angle_beta 90.00
_cell_angle_gamma 90.00
loop_
_atom_site_label
_atom_site_fract_x
_atom_site_fract_y
_atom_site_fract_z
_atom_site_occupancy
Ac1 0.000 0.000 0.000 1
Sm1 0.072 0.324 0.500 1
Er1 0.000 0.500 0.250 1
Er2 0.118 0.228 0.172 1
```

Output
Uncorrected energy ... -4.040 eV/atom
Energy of formation ... 534 meV per atom

***

[10]
An optimized crystal structure of Ac15Sm4Er, computed with PBE-GGA.

```
data_Ac15Sm4Er
_symmetry_space_group_name_H-M 'P 4/m m m'
_symmetry_Int_Tables_number 123
_symmetry_space_group_name_Hall '-P 4 2'
_cell_length_a 5.519
_cell_length_b 5.519
_cell_length_c 27.453
_cell_angle_alpha 90.00
_cell_angle_beta 90.00
_cell_angle_gamma 90.00
loop_
_atom_site_label
_atom_site_fract_x
_atom_site_fract_y
_atom_site_fract_z
_atom_site_occupancy
Ac1 0.000 0.000 0.000 1
Ac2 0.000 0.000 0.199 1
Ac3 0.000 0.000 0.400 1
Ac4 0.000 0.500 0.099 1
Ac5 0.000 0.500 0.299 1
Ac6 0.000 0.500 0.500 1
Sm1 0.500 0.500 0.199 1
Sm2 0.500 0.500 0.400 1
Er1 0.500 0.500 0.000 1
```

Output
Uncorrected energy ... -4.223 eV/atom
Energy of formation ... 30 meV per atom

***

[11]
An optimized crystal structure of AcSmEr4, computed with PBE-GGA.

```
data_AcSmEr4
_symmetry_space_group_name_H-M 'P -1'
_symmetry_Int_Tables_number 2
_cell_length_a 7.181
_cell_length_b 7.181
_cell_length_c 8.836
_cell_angle_alpha 89.07
_cell_angle_beta 89.07
_cell_angle_gamma 60.66
loop_
_symmetry_equiv_pos_as_xyz
'x,y,z'
'-x,-y,-z'
loop_
_atom_site_label
_atom_site_fract_x
_atom_site_fract_y
_atom_site_fract_z
_atom_site_occupancy
Ac1 0.089 0.088 0.170 1
Sm1 0.414 0.414 0.830 1
Er1 0.087 0.586 0.174 1
Er2 0.252 0.252 0.502 1
Er3 0.254 0.746 0.500 1
Er4 0.414 0.914 0.826 1
```

Output
ΔE to the lowest computed polymorph ... 0 meV/atom
Uncorrected energy ... -4.468 eV/atom
Energy of formation ... 45 meV per atom

***

[12]
An optimized crystal structure of AcSm3Er3, computed with PBE-GGA.

```
data_AcSm3Er3
_symmetry_space_group_name_H-M 'P 1'
_symmetry_Int_Tables_number 1
_cell_length_a 8.105
_cell_length_b 10.861
_cell_length_c 10.898
_cell_angle_alpha 93.09
_cell_angle_beta 94.31
_cell_angle_gamma 98.71
loop_
_symmetry_equiv_pos_as_xyz
'x,y,z'
loop_
_atom_site_label
_atom_site_fract_x
_atom_site_fract_y
_atom_site_fract_z
_atom_site_occupancy
Ac1 0.000 0.000 0.000 1
Ac2 0.038 0.815 0.700 1
Ac3 0.253 0.741 0.998 1
Ac4 0.781 0.074 0.704 1
Sm1 0.074 0.637 0.416 1
Sm2 0.105 0.456 0.140 1
Sm3 0.147 0.289 0.852 1
Sm4 0.185 0.109 0.565 1
Sm5 0.214 0.925 0.287 1
Sm6 0.534 0.325 0.707 1
Sm7 0.570 0.144 0.419 1
Sm8 0.605 0.964 0.141 1
Sm9 0.641 0.778 0.849 1
Sm10 0.674 0.603 0.561 1
Sm11 0.712 0.426 0.280 1
Sm12 0.745 0.251 0.999 1
Er1 0.289 0.563 0.704 1
Er2 0.320 0.391 0.423 1
Er3 0.358 0.214 0.142 1
Er4 0.395 0.037 0.853 1
Er5 0.432 0.851 0.560 1
Er6 0.468 0.672 0.281 1
Er7 0.503 0.494 0.995 1
Er8 0.818 0.888 0.415 1
Er9 0.850 0.706 0.138 1
Er10 0.888 0.528 0.850 1
Er11 0.932 0.361 0.562 1
Er12 0.964 0.180 0.286 1
```

Output
Uncorrected energy ... -4.527 eV/atom
Energy of formation ... 38 meV per atom

***

[13]
An optimized crystal structure of AcSm3Er, computed with PBE-GGA.

```
data_AcSm3Er
_symmetry_space_group_name_H-M 'P 1 21/m 1'
_symmetry_Int_Tables_number 11
_cell_length_a 3.693
_cell_length_b 11.494
_cell_length_c 9.310
_cell_angle_alpha 90.00
_cell_angle_beta 101.41
_cell_angle_gamma 90.00
loop_
_symmetry_equiv_pos_as_xyz
'x,y,z'
'-x,-y,-z'
'-x,y+1/2,-z'
'x,-y+1/2,z'
loop_
_atom_site_label
_atom_site_fract_x
_atom_site_fract_y
_atom_site_fract_z
_atom_site_occupancy
Ac1 0.030 0.250 0.058 1
Sm1 0.167 0.002 0.334 1
Sm2 0.361 0.250 0.722 1
Er1 0.295 0.750 0.589 1
```

Output
ΔE to the lowest computed polymorph ... 119 meV/atom
Uncorrected energy ... -4.295 eV/atom
Energy of formation ... 271 meV per atom

***

[14]
An optimized crystal structure of AcSm4Er3, computed with PBE-GGA.

```
data_AcSm4Er3
_symmetry_space_group_name_H-M 'I m m m'
_symmetry_Int_Tables_number 71
_symmetry_space_group_name_Hall '-I 2 2'
_cell_length_a 3.759
_cell_length_b 5.887
_cell_length_c 24.741
_cell_angle_alpha 90.00
_cell_angle_beta 90.00
_cell_angle_gamma 90.00
loop_
_atom_site_label
_atom_site_fract_x
_atom_site_fract_y
_atom_site_fract_z
_atom_site_occupancy
Ac1 0.000 0.000 0.000 1
Sm1 0.000 0.500 0.114 1
Sm2 0.000 0.500 0.358 1
Er1 0.000 0.000 0.266 1
Er2 0.000 0.000 0.500 1
```

Output
Uncorrected energy ... -4.492 eV/atom
Energy of formation ... 92 meV per atom

***

[15]
An optimized crystal structure of AcSm5Er2, computed with PBE-GGA.

```
data_AcSm5Er2
_symmetry_space_group_name_H-M 'P b a m'
_symmetry_Int_Tables_number 55
_cell_length_a 7.297
_cell_length_b 14.590
_cell_length_c 5.126
_cell_angle_alpha 90.00
_cell_angle_beta 90.00
_cell_angle_gamma 90.00
loop_
_symmetry_equiv_pos_as_xyz
'x,y,z'
'-x,-y,-z'
'-x,-y,z'
'x,y,-z'
'x+1/2,-y+1/2,-z'
'-x+1/2,y+1/2,z'
'-x+1/2,y+1/2,-z'
'x+1/2,-y+1/2,z'
loop_
_atom_site_label
_atom_site_fract_x
_atom_site_fract_y
_atom_site_fract_z
_atom_site_occupancy
Ac1 0.000 0.000 0.000 1
Sm1 0.000 0.500 0.000 1
Sm2 0.002 0.253 0.000 1
Sm3 0.245 0.628 0.500 1
Er1 0.249 0.373 0.500 1
```

Output
Uncorrected energy ... -4.573 eV/atom
Energy of formation ... 31 meV per atom

***

[16]
An optimized crystal structure of Ac3SmEr, computed with PBE-GGA.

```
data_Ac3SmEr
_symmetry_space_group_name_H-M 'P n n a'
_symmetry_Int_Tables_number 52
_cell_length_a 6.556
_cell_length_b 9.442
_cell_length_c 13.211
_cell_angle_alpha 90.00
_cell_angle_beta 90.00
_cell_angle_gamma 90.00
loop_
_symmetry_equiv_pos_as_xyz
'x,y,z'
'-x,-y,-z'
'-x+1/2,-y,z'
'x+1/2,y,-z'
'x,-y+1/2,-z+1/2'
'-x,y+1/2,z+1/2'
'-x+1/2,y+1/2,-z+1/2'
'x+1/2,-y+1/2,z+1/2'
loop_
_atom_site_label
_atom_site_fract_x
_atom_site_fract_y
_atom_site_fract_z
_atom_site_occupancy
Ac1 0.088 0.173 0.075 1
Ac2 0.136 0.250 0.750 1
Sm1 0.250 0.000 0.557 1
Er1 0.250 0.000 0.306 1
```

Output
Uncorrected energy ... -4.141 eV/atom
Energy of formation ... 180 meV per atom

***

[17]
An optimized crystal structure of Ac2Sm2Er, computed with PBE-GGA.

```
data_Ac2Sm2Er
_symmetry_space_group_name_H-M 'C 1 2/c 1'
_symmetry_Int_Tables_number 15
_cell_length_a 16.498
_cell_length_b 6.611
_cell_length_c 7.148
_cell_angle_alpha 90.00
_cell_angle_beta 104.75
_cell_angle_gamma 90.00
loop_
_symmetry_equiv_pos_as_xyz
'x,y,z'
'-x,-y,-z'
'-x,y,-z+1/2'
'x,-y,z+1/2'
'x+1/2,y+1/2,z'
'-x+1/2,-y+1/2,-z'
'-x+1/2,y+1/2,-z+1/2'
'x+1/2,-y+1/2,z+1/2'
loop_
_atom_site_label
_atom_site_fract_x
_atom_site_fract_y
_atom_site_fract_z
_atom_site_occupancy
Ac1 0.195 0.088 0.153 1
Sm1 0.094 0.416 0.449 1
Er1 0.000 0.089 0.750 1
```

Output
ΔE to the lowest computed polymorph ... 0 meV/atom
Uncorrected energy ... -4.378 eV/atom
Energy of formation ... 65 meV per atom

***

[18]
An optimized crystal structure of AcSmEr, computed with PBE-GGA.

```
data_AcSmEr
_symmetry_space_group_name_H-M 'I 4 m m'
_symmetry_Int_Tables_number 107
_symmetry_space_group_name_Hall 'I 4 -2'
_cell_length_a 3.749
_cell_length_b 3.749
_cell_length_c 15.440
_cell_angle_alpha 90.00
_cell_angle_beta 90.00
_cell_angle_gamma 90.00
loop_
_atom_site_label
_atom_site_fract_x
_atom_site_fract_y
_atom_site_fract_z
_atom_site_occupancy
Ac1 0.000 0.000 0.000 1
Sm1 0.000 0.000 0.675 1
Er1 0.000 0.000 0.329 1
```

Output
ΔE to the lowest computed polymorph ... 0 meV/atom
Uncorrected energy ... -4.406 eV/atom
Energy of formation ... 58 meV per atom

***

[19]
An optimized crystal structure of AcSm6Er3, computed with PBE-GGA.

```
data_AcSm6Er3
_symmetry_space_group_name_H-M 'P 1 21/m 1'
_symmetry_Int_Tables_number 11
_cell_length_a 12.728
_cell_length_b 3.675
_cell_length_c 14.660
_cell_angle_alpha 90.00
_cell_angle_beta 96.28
_cell_angle_gamma 90.00
loop_
_symmetry_equiv_pos_as_xyz
'x,y,z'
'-x,-y,-z'
'-x,y+1/2,-z'
'x,-y+1/2,z'
loop_
_atom_site_label
_atom_site_fract_x
_atom_site_fract_y
_atom_site_fract_z
_atom_site_occupancy
Ac1 0.156 0.250 0.368 1
Sm1 0.100 0.250 0.036 1
Sm2 0.112 0.750 0.587 1
Sm3 0.260 0.750 0.182 1
Sm4 0.274 0.750 0.926 1
Sm5 0.335 0.250 0.729 1
Sm6 0.371 0.750 0.508 1
Er1 0.048 0.250 0.795 1
Er2 0.439 0.250 0.319 1
Er3 0.462 0.250 0.093 1
```

Output
ΔE to the lowest computed polymorph ... 0 meV/atom
Uncorrected energy ... -4.539 eV/atom
Energy of formation ... 72 meV per atom